(1)
## Ba6Na23Li (PBE)

Data for a geometry-optimized Ba6Na23Li structure.

Computed properties:
Its crystal system is cubic. The value obtained for the energy relative to the elements is 0 meV/atom.

a b c (Å): 17.160 17.160 17.160
angles (deg): 90.00 90.00 90.00
Space group Fm-3m (No. 225)
Unique sites:
Ba (0.000, 0.000, 0.204)
Na (0.000, 0.000, 0.500)
Na (0.000, 0.250, 0.250)
Na (0.118, 0.118, 0.382)
Na (0.171, 0.171, 0.171)
Li (0.000, 0.000, 0.000)

(2)
## CsCrNi3 (PBE)

Data for a geometry-optimized CsCrNi3 structure.

Computed properties:
Its crystal system is cubic. The value obtained for the energy relative to the elements is 2673 meV/atom.

a b c (Å): 4.716 4.716 4.716
angles (deg): 90.00 90.00 90.00
Space group Pm-3m (No. 221)
Unique sites:
Cs (0.000, 0.000, 0.000)
Cr (0.500, 0.500, 0.500)
Ni (0.000, 0.000, 0.500)

(3)
## PmEr2SbN4 (PBE)

Data for a geometry-optimized PmEr2SbN4 structure.

Computed properties:
The formation energy from raw total energies is -850 meV/atom. Its crystal system is orthorhombic.

a b c (Å): 3.311 13.365 11.452
angles (deg): 90.00 90.00 90.00
Space group Cmcm (No. 63)
Unique sites:
Pm (0.000, 0.238, 0.250)
Er (0.000, 0.369, 0.503)
Sb (0.000, 0.014, 0.750)
N (0.000, 0.000, 0.000)
N (0.000, 0.212, 0.606)
N (0.000, 0.410, 0.750)

no.,total moment (μB/cell)
1,0.0
2,0.6
3,0.0